Below is crystalline BaCa2CoO4 at its relaxed geometry, with properties calculated at the GGA+U level.

Calculated values
The final energy is -99.472 eV/cell. The theoretical density comes out at 4.61 g/cm³.

CIF file:
```
data_BaCa2CoO4
_chemical_formula_sum 'Ba2 Ca4 Co2 O8'
_cell_length_a 3.511
_cell_length_b 6.170
_cell_length_c 11.809
_cell_angle_alpha 90.00
_cell_angle_beta 90.00
_cell_angle_gamma 106.53
_symmetry_space_group_name_H-M 'P 1'
_symmetry_Int_Tables_number 1
loop_
_symmetry_equiv_pos_as_xyz
'x,y,z'
loop_
_atom_site_label
_atom_site_fract_x
_atom_site_fract_y
_atom_site_fract_z
Ba1 0.105 0.209 0.750
Ba2 0.895 0.791 0.250
Ca1 0.369 0.739 0.544
Ca2 0.631 0.261 0.044
Ca3 0.631 0.261 0.456
Ca4 0.369 0.739 0.956
Co1 0.838 0.677 0.750
Co2 0.162 0.323 0.250
O1 0.260 0.520 0.118
O2 0.740 0.480 0.618
O3 0.740 0.480 0.882
O4 0.260 0.520 0.382
O5 0.000 0.000 0.500
O6 0.000 0.000 0.000
O7 0.425 0.850 0.750
O8 0.575 0.150 0.250
```